[1]
A geometry-optimized PmNdSi structure, computed with PBE.

For the formation energy without anion corrections, the calculation gives -0.285 eV/atom.

The structure belongs to space group P3m1 (No. 156); the cell edges are 4.7254, 4.7254 and 4.3017 Å and the angles 90.00°, 90.00° and 120.00°. The distinct sites, in fractional coordinates, are Pm at (0.0000, 0.0000, 0.0000), Nd at (0.6667, 0.3333, 0.5458) and Si at (0.3333, 0.6667, 0.2295).


[2]
A geometry-optimized Os2Au2C structure, computed with PBE.

The structure belongs to space group P4/mbm (No. 127); the cell edges are 5.498, 5.498 and 4.957 Å and the angles 90.00°, 90.00° and 90.00°. The distinct sites, in fractional coordinates, are Os at (0.164, 0.336, 0.000), Au at (0.175, 0.675, 0.500) and C at (0.000, 0.000, 0.000).


| no. | density of states at the Fermi level (states/eV/f.u.) | VASP energy (eV for the cell shown) |
| --- | --- | --- |
| 1 | 1.72 | -15.797 |
| 2 | 4.94 | -70.080 |